An optimized crystal structure of MnNb2S4, computed with PBE-GGA.

The structure belongs to space group Pnma (No. 62); the cell edges are 9.0329, 3.3550 and 17.0294 Å and the angles 90.00°, 90.00° and 90.00°. The asymmetric unit holds Mn at (0.1957, 0.2500, 0.2189), Nb at (0.0033, 0.7500, 0.4288), Nb at (0.1233, 0.7500, 0.9716), S at (0.0174, 0.7500, 0.1063), S at (0.1256, 0.2500, 0.7074), S at (0.1735, 0.2500, 0.3628) and S at (0.1938, 0.7500, 0.5377).

For the uncorrected formation energy, the calculation gives -773 meV per atom. For the energy, the calculation gives -7.3183 eV per atom.